# 1
# Ta2ZnMo (SCAN, PBEsol geometry)
data_Ta2ZnMo
_chemical_formula_sum 'Ta2 Zn1 Mo1'
_symmetry_space_group_name_H-M 'P m m 2'
_symmetry_Int_Tables_number 25
_symmetry_space_group_name_Hall 'P 2 -2'
_cell_length_a 2.687
_cell_length_b 4.315
_cell_length_c 5.624
_cell_angle_alpha 90.00
_cell_angle_beta 90.00
_cell_angle_gamma 90.00
loop_
_atom_site_label
_atom_site_fract_x
_atom_site_fract_y
_atom_site_fract_z
Ta1 0.000 0.000 0.000
Ta2 0.500 0.500 0.265
Zn1 0.000 0.000 0.507
Mo1 0.500 0.500 0.756
# - energy of formation (eV per atom) = 0.170
# - crystal system = orthorhombic
# - ρ (g/cm³) = 13.33
# - magnetic moment (μB/f.u.) = 0.0


# 2
# Al4CdAg (SCAN, PBEsol geometry)
data_Al4CdAg
_chemical_formula_sum 'Al16 Cd4 Ag4'
_symmetry_space_group_name_H-M 'F -4 3 m'
_symmetry_Int_Tables_number 216
_symmetry_space_group_name_Hall 'F -4 2 3'
_cell_length_a 7.589
_cell_length_b 7.589
_cell_length_c 7.589
_cell_angle_alpha 90.00
_cell_angle_beta 90.00
_cell_angle_gamma 90.00
loop_
_atom_site_label
_atom_site_fract_x
_atom_site_fract_y
_atom_site_fract_z
Al1 0.125 0.125 0.125
Cd1 0.000 0.000 0.500
Ag1 0.250 0.250 0.750
# - energy of formation (eV per atom) = 0.225
# - crystal system = cubic
# - ρ (g/cm³) = 4.99
# - magnetic moment (μB/f.u.) = 0.0


# 3
# LiYC2N4 (SCAN, PBEsol geometry)
data_LiYC2N4
_chemical_formula_sum 'Li4 Y4 C8 N16'
_symmetry_space_group_name_H-M 'P b c n'
_symmetry_Int_Tables_number 60
_symmetry_space_group_name_Hall '-P 2n 2ab'
_cell_length_a 9.820
_cell_length_b 6.947
_cell_length_c 6.014
_cell_angle_alpha 90.00
_cell_angle_beta 90.00
_cell_angle_gamma 90.00
loop_
_atom_site_label
_atom_site_fract_x
_atom_site_fract_y
_atom_site_fract_z
Li1 0.000 0.105 0.250
Y1 0.000 0.359 0.750
C1 0.247 0.111 0.579
N1 0.123 0.116 0.583
N2 0.127 0.395 0.074
# - crystal system = orthorhombic
# - ρ (g/cm³) = 2.85
# - magnetic moment (μB/f.u.) = 0.0
# - ΔE_f (raw) (meV per atom) = -902